Density functional theory data (PBE) for a geometry-optimized NaHoAgCl5 structure.

```
16
Lattice="3.914 -6.548 0.000 3.914 6.548 0.000 -3.325 0.000 9.211" Properties=species:S:1:pos:R:3 pbc="T T T"
Na 1.420 5.574 6.908
Na 3.083 -5.574 2.303
Ho 3.914 0.000 0.000
Ho 2.252 0.000 4.606
Ag 3.083 3.743 2.303
Ag 1.420 -3.743 6.908
Cl -1.802 1.045 8.768
Cl 1.355 2.167 3.419
Cl -0.139 -1.045 4.162
Cl 1.420 1.036 6.908
Cl -0.307 -2.167 8.025
Cl 4.810 2.167 1.186
Cl 3.083 -1.036 2.303
Cl 4.642 1.045 5.049
Cl 3.148 -2.167 5.792
Cl 6.305 -1.045 0.443
```

Values from the calculation:
DOS at the Fermi energy = 0.000 states/eV per atom
E_tot = -3.94 eV/atom

Density functional theory data (PBE) for a geometry-optimized HoAgPbCl6 structure.

```
18
Lattice="6.906 0.000 0.000 -3.453 5.981 0.000 0.000 0.000 12.743" Properties=species:S:1:pos:R:3 pbc="T T T"
Ho 0.000 3.987 3.186
Ho 3.453 1.994 9.558
Ag 0.000 3.987 9.558
Ag 3.453 1.994 3.186
Pb 0.000 0.000 0.000
Pb 0.000 0.000 6.372
Cl -1.125 2.133 1.667
Cl -2.168 3.940 4.705
Cl 1.125 2.133 4.705
Cl -1.043 5.888 1.667
Cl 2.410 0.093 8.038
Cl 1.285 2.041 11.077
Cl 2.168 3.940 1.667
Cl 1.043 5.888 4.705
Cl 4.496 0.093 11.077
Cl 2.329 3.848 8.038
Cl 5.621 2.041 8.038
Cl 4.578 3.848 11.077
```

Values from the calculation:
DOS at the Fermi energy = 0.000 states/eV per atom
E_tot = -3.96 eV/atom

Density functional theory data (PBE) for a geometry-optimized RbHoAgCl5 structure.

```
16
Lattice="4.446 -6.261 0.000 4.446 6.261 0.000 -3.693 0.000 9.450" Properties=species:S:1:pos:R:3 pbc="T T T"
Rb 1.676 4.255 7.088
Rb 3.523 -4.255 2.363
Ho 4.446 0.000 0.000
Ho 2.599 0.000 4.725
Ag 3.523 3.900 2.363
Ag 1.676 -3.900 7.088
Cl -1.697 0.701 8.821
Cl 2.035 2.436 3.897
Cl 0.149 -0.701 4.096
Cl 5.010 2.436 0.828
Cl 1.676 0.817 7.088
Cl 3.523 -0.817 2.363
Cl 0.188 -2.436 8.622
Cl 5.049 0.701 5.354
Cl 3.164 -2.436 5.553
Cl 6.896 -0.701 0.629
```

Values from the calculation:
DOS at the Fermi energy = 0.000 states/eV per atom
E_tot = -3.97 eV/atom

Density functional theory data (PBE) for a geometry-optimized Rb3HoAg2Cl9 structure.

```
15
Lattice="7.464 0.000 0.000 -3.732 6.464 0.000 0.000 0.000 9.256" Properties=species:S:1:pos:R:3 pbc="T T T"
Rb 0.000 0.000 0.000
Rb 0.000 4.310 6.408
Rb 3.732 2.155 2.848
Ho 0.000 0.000 4.628
Ag 0.000 4.310 1.441
Ag 3.732 2.155 7.815
Cl -1.866 3.232 0.000
Cl 0.000 2.135 3.113
Cl -1.883 5.397 3.113
Cl 1.849 1.068 6.143
Cl 3.732 0.000 0.000
Cl 1.866 3.232 0.000
Cl 1.883 5.397 3.113
Cl 5.615 1.068 6.143
Cl 3.732 4.329 6.143
```

Values from the calculation:
DOS at the Fermi energy = 0.483 states/eV per atom
E_tot = -3.53 eV/atom